VASP calculation (PBE) on PRuS2F after structural relaxation.

```
PRuS2F
1.0
4.515 0.000 0.000
0.000 4.515 0.000
0.000 0.000 3.804
P Ru S F
1 1 2 1
Direct
0.000 0.000 0.000 P
0.500 0.500 0.000 Ru
0.000 0.500 0.500 S
0.500 0.000 0.500 S
0.000 0.000 0.500 F
```

Summary:
uncorrected energy = -19.63 eV for the cell shown
energy above the most stable polymorph in this dataset = 652 meV/atom
calculated volume = 15.509 A^3/atom
M_tot = 0.00 μB/f.u.
formation energy from raw total energies = 100.0 kJ per mole of atoms